# RbHfAg3S4 GGA-PBE relaxed
data_RbHfAg3S4
_symmetry_space_group_name_H-M 'P 1'
_symmetry_Int_Tables_number 1
_cell_length_a 6.364
_cell_length_b 6.364
_cell_length_c 6.364
_cell_angle_alpha 90.00
_cell_angle_beta 90.00
_cell_angle_gamma 90.00
loop_
_symmetry_equiv_pos_as_xyz
'x,y,z'
loop_
_atom_site_label
_atom_site_fract_x
_atom_site_fract_y
_atom_site_fract_z
_atom_site_occupancy
Rb1 0.000 0.000 0.000 1
Hf1 0.500 0.500 0.500 1
Ag1 0.000 0.500 0.500 1
Ag2 0.500 0.000 0.500 1
Ag3 0.500 0.500 0.000 1
S1 0.283 0.283 0.283 1
S2 0.283 0.717 0.717 1
S3 0.717 0.283 0.717 1
S4 0.717 0.717 0.283 1
# ΔE to the lowest computed polymorph   0.00 eV per formula unit
# Space-group type   P-43m
# E_tot   -4.80 eV/atom

# RbHfAgS3 GGA-PBE relaxed
data_RbHfAgS3
_symmetry_space_group_name_H-M 'P 1'
_symmetry_Int_Tables_number 1
_cell_length_a 14.802
_cell_length_b 3.856
_cell_length_c 10.386
_cell_angle_alpha 90.00
_cell_angle_beta 90.00
_cell_angle_gamma 90.00
loop_
_symmetry_equiv_pos_as_xyz
'x,y,z'
loop_
_atom_site_label
_atom_site_fract_x
_atom_site_fract_y
_atom_site_fract_z
_atom_site_occupancy
Rb1 0.234 0.250 0.042 1
Rb2 0.266 0.750 0.542 1
Rb3 0.734 0.250 0.458 1
Rb4 0.766 0.750 0.958 1
Hf1 0.014 0.250 0.334 1
Hf2 0.486 0.750 0.834 1
Hf3 0.514 0.250 0.166 1
Hf4 0.986 0.750 0.666 1
Ag1 0.016 0.750 0.095 1
Ag2 0.484 0.250 0.595 1
Ag3 0.516 0.750 0.405 1
Ag4 0.984 0.250 0.905 1
S1 0.083 0.250 0.567 1
S2 0.094 0.750 0.853 1
S3 0.125 0.750 0.279 1
S4 0.375 0.250 0.779 1
S5 0.406 0.250 0.353 1
S6 0.417 0.750 0.067 1
S7 0.583 0.250 0.933 1
S8 0.594 0.750 0.647 1
S9 0.625 0.750 0.221 1
S10 0.875 0.250 0.721 1
S11 0.906 0.250 0.147 1
S12 0.917 0.750 0.433 1
# Space-group type   Pnma
# E_tot   -5.54 eV/atom

# RbHfAgS3 GGA-PBE relaxed
data_RbHfAgS3
_symmetry_space_group_name_H-M 'P 1'
_symmetry_Int_Tables_number 1
_cell_length_a 8.672
_cell_length_b 8.672
_cell_length_c 8.994
_cell_angle_alpha 99.24
_cell_angle_beta 99.24
_cell_angle_gamma 25.02
loop_
_symmetry_equiv_pos_as_xyz
'x,y,z'
loop_
_atom_site_label
_atom_site_fract_x
_atom_site_fract_y
_atom_site_fract_z
_atom_site_occupancy
Rb1 0.145 0.145 0.068 1
Rb2 0.855 0.855 0.932 1
Hf1 0.159 0.159 0.570 1
Hf2 0.841 0.841 0.430 1
Ag1 0.482 0.482 0.267 1
Ag2 0.518 0.518 0.733 1
S1 0.000 0.000 0.500 1
S2 0.319 0.319 0.617 1
S3 0.328 0.328 0.240 1
S4 0.500 0.500 0.000 1
S5 0.672 0.672 0.760 1
S6 0.681 0.681 0.383 1
# Space-group type   C2/m
# E_tot   -5.40 eV/atom